1.
! K2H7Ir PBE-GGA relaxed; values from VASP
&SYSTEM
  ibrav = 0, nat = 20, ntyp = 3
/
ATOMIC_SPECIES
K 39.10 K.upf
H 1.01 H.upf
Ir 192.22 Ir.upf
CELL_PARAMETERS angstrom
6.3112 -2.5863 0.0000
6.3112 2.5863 0.0000
-6.0525 0.0000 8.0879
ATOMIC_POSITIONS angstrom
K 1.6950 0.0088 0.4190
K -1.3312 -0.0088 4.4629
K 7.9011 0.0088 3.6250
K 4.8748 -0.0088 7.6690
H 0.7827 1.3391 6.2815
H 4.7980 1.5956 2.0220
H 2.7609 1.3391 5.8504
H 3.3487 0.5438 2.5403
H 1.3265 0.0240 4.4443
H 4.3528 -0.0240 0.4004
H 6.2474 0.5438 1.5036
H 0.3225 -0.5438 6.5843
H 2.2171 0.0240 7.6875
H 5.2433 -0.0240 3.6436
H 3.2211 -0.5438 5.5476
H 3.8089 -1.3391 2.2375
H 1.7718 -1.5956 6.0659
H 5.7871 -1.3391 1.8064
Ir 1.7718 0.0291 6.0659
Ir 4.7980 -0.0291 2.0220
! Electronic total energy: -3.762 eV/atom


2.
! KH6Ir PBE-GGA relaxed; values from VASP
&SYSTEM
  ibrav = 0, nat = 16, ntyp = 3
/
ATOMIC_SPECIES
K 39.10 K.upf
H 1.01 H.upf
Ir 192.22 Ir.upf
CELL_PARAMETERS angstrom
5.0494 0.0000 0.0000
0.0000 5.0494 0.0000
0.0000 0.0000 5.9991
ATOMIC_POSITIONS angstrom
K 0.0000 0.0000 0.0000
K 0.0000 0.0000 2.9996
H 0.9120 2.1223 1.3856
H 0.9120 2.1223 4.6135
H 1.5718 2.3408 2.9996
H 2.1223 4.1375 1.6140
H 2.1223 4.1375 4.3851
H 2.3408 3.4777 0.0000
H 2.7086 1.5718 0.0000
H 2.9272 0.9120 1.6140
H 2.9272 0.9120 4.3851
H 3.4777 2.7086 2.9996
H 4.1375 2.9272 1.3856
H 4.1375 2.9272 4.6135
Ir 2.5247 2.5247 1.4998
Ir 2.5247 2.5247 4.4993
! Electronic total energy: -3.867 eV/atom